Entry 1:
# KFe2Rh (PBE-GGA, relaxed)
data_KFe2Rh
_chemical_formula_sum 'K1 Fe2 Rh1'
_cell_length_a 2.845
_cell_length_b 4.842
_cell_length_c 4.789
_cell_angle_alpha 90.00
_cell_angle_beta 90.00
_cell_angle_gamma 90.00
_space_group_name_H-M_alt 'P 1'
_space_group_IT_number 1
loop_
_space_group_symop_operation_xyz
'x,y,z'
loop_
_atom_site_label
_atom_site_fract_x
_atom_site_fract_y
_atom_site_fract_z
Fe1 0.000 0.000 0.000
Fe2 0.500 0.500 0.000
K1 0.500 0.000 0.500
Rh1 0.000 0.500 0.500
# E_tot = -21.02 eV for the cell shown
# density of states at the Fermi level = 4.71 states/eV per cell
# ΔE_f = 4.35 eV per formula unit
# polymorph energy (0 for the lowest one) = 0.562 eV per atom

=====

Entry 2:
# LiCa4Nd3Se8 (PBE-GGA, relaxed)
data_LiCa4Nd3Se8
_chemical_formula_sum 'Li1 Ca4 Nd3 Se8'
_cell_length_a 8.378
_cell_length_b 8.422
_cell_length_c 8.379
_cell_angle_alpha 119.83
_cell_angle_beta 120.00
_cell_angle_gamma 90.00
_space_group_name_H-M_alt 'P 1'
_space_group_IT_number 1
loop_
_space_group_symop_operation_xyz
'x,y,z'
loop_
_atom_site_label
_atom_site_fract_x
_atom_site_fract_y
_atom_site_fract_z
Li1 0.000 0.500 0.000
Ca1 0.500 0.000 0.000
Ca2 0.500 0.000 0.500
Ca3 0.000 0.000 0.000
Ca4 0.000 0.000 0.500
Nd1 0.500 0.500 0.000
Nd2 0.500 0.500 0.500
Nd3 0.000 0.500 0.500
Se1 0.248 0.750 0.002
Se2 0.248 0.750 0.496
Se3 0.248 0.244 0.496
Se4 0.754 0.750 0.002
Se5 0.246 0.250 0.998
Se6 0.752 0.756 0.504
Se7 0.752 0.250 0.504
Se8 0.752 0.250 0.998
# E_tot = -82.13 eV for the cell shown
# density of states at the Fermi level = 4.06 states/eV per cell
# formation energy without anion corrections = -2897.3 kJ/mol of formula units

=====

Entry 3:
# Pm2Al4Zn3Ir (PBE-GGA, relaxed)
data_Pm2Al4Zn3Ir
_chemical_formula_sum 'Pm2 Al4 Zn3 Ir1'
_cell_length_a 4.218
_cell_length_b 4.218
_cell_length_c 10.703
_cell_angle_alpha 90.00
_cell_angle_beta 90.00
_cell_angle_gamma 90.00
_space_group_name_H-M_alt 'P 1'
_space_group_IT_number 1
loop_
_space_group_symop_operation_xyz
'x,y,z'
loop_
_atom_site_label
_atom_site_fract_x
_atom_site_fract_y
_atom_site_fract_z
Pm1 0.500 0.000 0.255
Pm2 0.000 0.500 0.745
Al1 0.500 0.500 0.000
Al2 0.000 0.000 0.000
Al3 0.500 0.000 0.626
Al4 0.000 0.500 0.374
Zn1 0.000 0.000 0.500
Zn2 0.500 0.000 0.860
Zn3 0.000 0.500 0.140
Ir1 0.500 0.500 0.500
# E_tot = -42.11 eV for the cell shown
# density of states at the Fermi level = 5.38 states/eV per cell
# ΔE_f = -4.96 eV per formula unit

=====

Entry 4:
# In2CuTe (PBE-GGA, relaxed)
data_In2CuTe
_chemical_formula_sum 'In2 Cu1 Te1'
_cell_length_a 3.970
_cell_length_b 4.149
_cell_length_c 6.433
_cell_angle_alpha 70.92
_cell_angle_beta 90.00
_cell_angle_gamma 90.00
_space_group_name_H-M_alt 'P 1'
_space_group_IT_number 1
loop_
_space_group_symop_operation_xyz
'x,y,z'
loop_
_atom_site_label
_atom_site_fract_x
_atom_site_fract_y
_atom_site_fract_z
Cu1 0.500 0.529 0.818
In1 0.000 0.978 0.918
In2 0.500 0.309 0.260
Te1 0.000 0.684 0.504
# E_tot = -12.73 eV for the cell shown
# density of states at the Fermi level = 1.22 states/eV per cell
# formation energy without anion corrections = -1.3 kJ/mol of formula units

=====

Entry 5:
# PaIrRu2 (PBE-GGA, relaxed)
data_PaIrRu2
_chemical_formula_sum 'Pa1 Ir1 Ru2'
_cell_length_a 4.016
_cell_length_b 4.079
_cell_length_c 4.079
_cell_angle_alpha 90.00
_cell_angle_beta 90.00
_cell_angle_gamma 90.00
_space_group_name_H-M_alt 'P 1'
_space_group_IT_number 1
loop_
_space_group_symop_operation_xyz
'x,y,z'
loop_
_atom_site_label
_atom_site_fract_x
_atom_site_fract_y
_atom_site_fract_z
Ru1 0.000 0.000 0.500
Ru2 0.000 0.500 0.000
Pa1 0.500 0.500 0.500
Ir1 0.500 0.000 0.000
# E_tot = -39.12 eV for the cell shown
# density of states at the Fermi level = 5.28 states/eV per cell
# ΔE_f = -2.21 eV per formula unit
# polymorph energy (0 for the lowest one) = 0.004 eV per atom

=====

Entry 6:
# Tm3CdSn2 (PBE-GGA, relaxed)
data_Tm3CdSn2
_chemical_formula_sum 'Tm6 Cd2 Sn4'
_cell_length_a 6.258
_cell_length_b 6.326
_cell_length_c 8.642
_cell_angle_alpha 101.95
_cell_angle_beta 111.23
_cell_angle_gamma 90.00
_space_group_name_H-M_alt 'P 1'
_space_group_IT_number 1
loop_
_space_group_symop_operation_xyz
'x,y,z'
loop_
_atom_site_label
_atom_site_fract_x
_atom_site_fract_y
_atom_site_fract_z
Tm1 0.637 0.250 0.000
Tm2 0.363 0.750 0.000
Tm3 0.282 0.096 0.345
Tm4 0.937 0.404 0.655
Tm5 0.063 0.596 0.345
Tm6 0.718 0.904 0.655
Cd1 0.875 0.750 0.000
Cd2 0.125 0.250 0.000
Sn1 0.553 0.554 0.318
Sn2 0.766 0.054 0.318
Sn3 0.234 0.946 0.682
Sn4 0.447 0.446 0.682
# E_tot = -50.28 eV for the cell shown
# density of states at the Fermi level = 7.85 states/eV per cell
# ΔE_f = -2.81 eV per formula unit

=====

Entry 7:
# ZrIn2HgF (PBE-GGA, relaxed)
data_ZrIn2HgF
_chemical_formula_sum 'Zr1 In2 Hg1 F1'
_cell_length_a 4.668
_cell_length_b 4.990
_cell_length_c 4.668
_cell_angle_alpha 90.00
_cell_angle_beta 90.00
_cell_angle_gamma 90.00
_space_group_name_H-M_alt 'P 1'
_space_group_IT_number 1
loop_
_space_group_symop_operation_xyz
'x,y,z'
loop_
_atom_site_label
_atom_site_fract_x
_atom_site_fract_y
_atom_site_fract_z
F1 0.000 0.000 0.000
Hg1 0.000 0.500 0.000
Zr1 0.500 0.500 0.500
In1 0.000 0.000 0.500
In2 0.500 0.000 0.000
# E_tot = -18.07 eV for the cell shown
# density of states at the Fermi level = 2.92 states/eV per cell
# formation energy without anion corrections = -180.9 kJ/mol of formula units

=====

Entry 8:
# La2GaPd4 (PBE-GGA, relaxed)
data_La2GaPd4
_chemical_formula_sum 'La2 Ga1 Pd4'
_cell_length_a 4.723
_cell_length_b 4.723
_cell_length_c 8.181
_cell_angle_alpha 106.78
_cell_angle_beta 106.78
_cell_angle_gamma 90.00
_space_group_name_H-M_alt 'P 1'
_space_group_IT_number 1
loop_
_space_group_symop_operation_xyz
'x,y,z'
loop_
_atom_site_label
_atom_site_fract_x
_atom_site_fract_y
_atom_site_fract_z
La1 0.644 0.644 0.288
La2 0.356 0.356 0.712
Ga1 0.000 0.000 0.000
Pd1 0.834 0.834 0.668
Pd2 0.166 0.166 0.332
Pd3 0.000 0.500 0.000
Pd4 0.500 0.000 0.000
# E_tot = -37.38 eV for the cell shown
# density of states at the Fermi level = 4.08 states/eV per cell
# ΔE_f = -3.73 eV per formula unit